(1)
RbLi2P (GGA-PBE, relaxed); calculated formation energy = -1.47 eV per formula unit; electronic total energy = -2.92 eV/atom; DOS(E_F) = 0.00 states/eV per cell
1.0
5.693 0.000 0.000
0.000 5.693 0.000
0.000 0.000 14.784
Rb Li P
4 8 4
direct
0.000 0.250 0.375
0.000 0.750 0.625
0.500 0.250 0.125
0.500 0.750 0.875
0.000 0.000 0.000
0.000 0.500 0.000
0.250 0.250 0.750
0.250 0.750 0.250
0.500 0.000 0.500
0.500 0.500 0.500
0.750 0.250 0.750
0.750 0.750 0.250
0.000 0.250 0.875
0.000 0.750 0.125
0.500 0.250 0.625
0.500 0.750 0.375


(2)
RbLi3P (GGA-PBE, relaxed); relative energy among the computed polymorphs = 1277 meV/atom; calculated formation energy = 4.80 eV per formula unit; electronic total energy = -1.46 eV/atom; DOS(E_F) = 4.28 states/eV per cell
1.0
5.076 0.000 0.000
0.000 5.076 0.000
0.000 0.000 5.076
Rb Li P
1 3 1
direct
0.000 0.000 0.000
0.000 0.000 0.500
0.000 0.500 0.000
0.500 0.000 0.000
0.500 0.500 0.500


DOS(E_F) of number 1 (RbLi2P)?
0.00 states/eV per cell


Which value of electronic total energy does entry 2 give?
-1.46 eV/atom


Which of these has the lowest calculated formation energy?
RbLi2P